Compound: LaCeBeN3
Source: Alexandria
Functional: GGA-PBE
Structure: optimized geometry

Output
- Crystal system: monoclinic
- Space group: P2_1/m (11)
- Raw total energy: -7.87 eV/atom
- Total magnetization: 0.00 μB per atom

Cell: 6.990 3.434 7.408 Å, 90.00 99.77 90.00°
Element x y z (fractional)
La 0.214 0.250 0.170
La 0.786 0.750 0.830
Ce 0.189 0.250 0.653
Ce 0.811 0.750 0.347
Be 0.400 0.750 0.927
Be 0.600 0.250 0.073
N 0.149 0.750 0.418
N 0.153 0.750 0.874
N 0.493 0.250 0.850
N 0.507 0.750 0.150
N 0.847 0.250 0.126
N 0.851 0.250 0.582